# 1
## ReOs2 (GGA-PBEsol)

Data for a relaxed ReOs2 crystal.

Energy relative to the elements: -0.07 eV per atom
ΔE to the lowest computed polymorph: 0.02 eV per formula unit

```
data_ReOs2
_cell_length_a 9.8893
_cell_length_b 2.7377
_cell_length_c 6.4362
_cell_angle_alpha 90.00
_cell_angle_beta 103.66
_cell_angle_gamma 90.00
_space_group_name_H-M_alt 'C 1 2/m 1'
_space_group_IT_number 12
loop_
_space_group_symop_operation_xyz
'x,y,z'
'-x,-y,-z'
'-x,y,-z'
'x,-y,z'
'x+1/2,y+1/2,z'
'-x+1/2,-y+1/2,-z'
'-x+1/2,y+1/2,-z'
'x+1/2,-y+1/2,z'
loop_
_atom_site_label
_atom_site_type_symbol
_atom_site_fract_x
_atom_site_fract_y
_atom_site_fract_z
_atom_site_occupancy
Re1 Re 0.1934 0.0000 0.1405 1
Os1 Os 0.0280 0.5000 0.8052 1
Os2 Os 0.1386 0.0000 0.5285 1
```

# 2
## ReOs2 (GGA-PBEsol)

Data for a relaxed ReOs2 crystal.

Energy relative to the elements: -0.05 eV per atom
ΔE to the lowest computed polymorph: 0.07 eV per formula unit

```
data_ReOs2
_cell_length_a 2.7439
_cell_length_b 14.2803
_cell_length_c 4.3343
_cell_angle_alpha 90.00
_cell_angle_beta 90.00
_cell_angle_gamma 90.00
_space_group_name_H-M_alt 'C m c m'
_space_group_IT_number 63
_space_group_name_Hall '-C 2c 2'
loop_
_atom_site_label
_atom_site_type_symbol
_atom_site_fract_x
_atom_site_fract_y
_atom_site_fract_z
_atom_site_occupancy
Re1 Re 0.0000 0.2212 0.2500 1
Os1 Os 0.0000 0.1107 0.7500 1
Os2 Os 0.0000 0.4443 0.7500 1
```

# 3
## ReOsRu2 (GGA-PBEsol)

Data for a relaxed ReOsRu2 crystal.

Energy relative to the elements: 0.07 eV per atom
ΔE to the lowest computed polymorph: 0.60 eV per formula unit

```
data_ReOsRu2
_cell_length_a 5.3928
_cell_length_b 7.5895
_cell_length_c 2.6977
_cell_angle_alpha 90.00
_cell_angle_beta 90.00
_cell_angle_gamma 90.00
_space_group_name_H-M_alt 'C m m m'
_space_group_IT_number 65
_space_group_name_Hall '-C 2 2'
loop_
_atom_site_label
_atom_site_type_symbol
_atom_site_fract_x
_atom_site_fract_y
_atom_site_fract_z
_atom_site_occupancy
Re1 Re 0.0000 0.0000 0.0000 1
Os1 Os 0.0000 0.5000 0.0000 1
Ru1 Ru 0.2500 0.2500 0.5000 1
```

# 4
## Re2OsRu (GGA-PBEsol)

Data for a relaxed Re2OsRu crystal.

Energy relative to the elements: -0.09 eV per atom
ΔE to the lowest computed polymorph: 0.00 eV per formula unit

```
data_Re2OsRu
_cell_length_a 2.7412
_cell_length_b 4.3440
_cell_length_c 4.7332
_cell_angle_alpha 90.00
_cell_angle_beta 90.00
_cell_angle_gamma 90.00
_space_group_name_H-M_alt 'P m m 2'
_space_group_IT_number 25
loop_
_space_group_symop_operation_xyz
'x,y,z'
'-x,-y,z'
'-x,y,z'
'x,-y,z'
loop_
_atom_site_label
_atom_site_type_symbol
_atom_site_fract_x
_atom_site_fract_y
_atom_site_fract_z
_atom_site_occupancy
Re1 Re 0.0000 0.0000 0.0000 1
Re2 Re 0.0000 0.5000 0.3350 1
Os1 Os 0.5000 0.0000 0.4992 1
Ru1 Ru 0.5000 0.5000 0.8412 1
```

# 5
## ReOs2Ru (GGA-PBEsol)

Data for a relaxed ReOs2Ru crystal.

Energy relative to the elements: -0.07 eV per atom
ΔE to the lowest computed polymorph: 0.00 eV per formula unit

```
data_ReOs2Ru
_cell_length_a 2.7309
_cell_length_b 4.3160
_cell_length_c 4.7278
_cell_angle_alpha 90.00
_cell_angle_beta 90.00
_cell_angle_gamma 90.00
_space_group_name_H-M_alt 'P m m 2'
_space_group_IT_number 25
loop_
_space_group_symop_operation_xyz
'x,y,z'
'-x,-y,z'
'-x,y,z'
'x,-y,z'
loop_
_atom_site_label
_atom_site_type_symbol
_atom_site_fract_x
_atom_site_fract_y
_atom_site_fract_z
_atom_site_occupancy
Re1 Re 0.0000 0.0000 0.0000 1
Os1 Os 0.0000 0.5000 0.3322 1
Os2 Os 0.5000 0.0000 0.4976 1
Ru1 Ru 0.5000 0.5000 0.8344 1
```

# 6
## ReOsRu2 (GGA-PBEsol)

Data for a relaxed ReOsRu2 crystal.

Energy relative to the elements: -0.08 eV per atom
ΔE to the lowest computed polymorph: 0.00 eV per formula unit

```
data_ReOsRu2
_cell_length_a 2.7180
_cell_length_b 4.2985
_cell_length_c 4.7071
_cell_angle_alpha 90.00
_cell_angle_beta 90.00
_cell_angle_gamma 90.00
_space_group_name_H-M_alt 'P m m 2'
_space_group_IT_number 25
loop_
_space_group_symop_operation_xyz
'x,y,z'
'-x,-y,z'
'-x,y,z'
'x,-y,z'
loop_
_atom_site_label
_atom_site_type_symbol
_atom_site_fract_x
_atom_site_fract_y
_atom_site_fract_z
_atom_site_occupancy
Re1 Re 0.0000 0.0000 0.0000 1
Os1 Os 0.0000 0.5000 0.3320 1
Ru1 Ru 0.5000 0.0000 0.4938 1
Ru2 Ru 0.5000 0.5000 0.8310 1
```

# 7
## ReOs2Ru (GGA-PBEsol)

Data for a relaxed ReOs2Ru crystal.

Energy relative to the elements: 0.10 eV per atom
ΔE to the lowest computed polymorph: 0.68 eV per formula unit

```
data_ReOs2Ru
_cell_length_a 2.7030
_cell_length_b 2.7030
_cell_length_c 26.5137
_cell_angle_alpha 90.00
_cell_angle_beta 90.00
_cell_angle_gamma 120.00
_space_group_name_H-M_alt 'R -3 m'
_space_group_IT_number 166
_space_group_name_Hall '-R 3 2"'
loop_
_atom_site_label
_atom_site_type_symbol
_atom_site_fract_x
_atom_site_fract_y
_atom_site_fract_z
_atom_site_occupancy
Re1 Re 0.0000 0.0000 0.0000 1
Os1 Os 0.0000 0.0000 0.2494 1
Ru1 Ru 0.0000 0.0000 0.5000 1
```

# 8
## Re2OsRu (GGA-PBEsol)

Data for a relaxed Re2OsRu crystal.

Energy relative to the elements: 0.03 eV per atom
ΔE to the lowest computed polymorph: 0.48 eV per formula unit

```
data_Re2OsRu
_cell_length_a 5.4225
_cell_length_b 7.6689
_cell_length_c 2.7153
_cell_angle_alpha 90.00
_cell_angle_beta 90.00
_cell_angle_gamma 90.00
_space_group_name_H-M_alt 'C m m m'
_space_group_IT_number 65
_space_group_name_Hall '-C 2 2'
loop_
_atom_site_label
_atom_site_type_symbol
_atom_site_fract_x
_atom_site_fract_y
_atom_site_fract_z
_atom_site_occupancy
Re1 Re 0.2500 0.2500 0.0000 1
Os1 Os 0.0000 0.0000 0.5000 1
Ru1 Ru 0.0000 0.5000 0.5000 1
```

# 9
## ReOs2Ru (GGA-PBEsol)

Data for a relaxed ReOs2Ru crystal.

Energy relative to the elements: 0.06 eV per atom
ΔE to the lowest computed polymorph: 0.53 eV per formula unit

```
data_ReOs2Ru
_cell_length_a 3.8199
_cell_length_b 3.8199
_cell_length_c 3.8242
_cell_angle_alpha 90.00
_cell_angle_beta 90.00
_cell_angle_gamma 90.00
_space_group_name_H-M_alt 'P 4/m m m'
_space_group_IT_number 123
_space_group_name_Hall '-P 4 2'
loop_
_atom_site_label
_atom_site_type_symbol
_atom_site_fract_x
_atom_site_fract_y
_atom_site_fract_z
_atom_site_occupancy
Re1 Re 0.0000 0.0000 0.0000 1
Os1 Os 0.0000 0.5000 0.5000 1
Ru1 Ru 0.5000 0.5000 0.0000 1
```

# 10
## ReSbOsRu2 (GGA-PBEsol)

Data for a relaxed ReSbOsRu2 crystal.

Uncorrected formation energy: 11.27 eV per formula unit

```
data_ReSbOsRu2
_cell_length_a 4.5376
_cell_length_b 4.5376
_cell_length_c 4.9042
_cell_angle_alpha 90.00
_cell_angle_beta 90.00
_cell_angle_gamma 90.00
_space_group_name_H-M_alt 'P 4/m m m'
_space_group_IT_number 123
_space_group_name_Hall '-P 4 2'
loop_
_atom_site_label
_atom_site_type_symbol
_atom_site_fract_x
_atom_site_fract_y
_atom_site_fract_z
_atom_site_occupancy
Re1 Re 0.0000 0.0000 0.0000 1
Sb1 Sb 0.0000 0.0000 0.5000 1
Os1 Os 0.5000 0.5000 0.5000 1
Ru1 Ru 0.0000 0.5000 0.0000 1
```

# 11
## ReOs3S (GGA-PBEsol)

Data for a relaxed ReOs3S crystal.

Uncorrected formation energy: 13.83 eV per formula unit

```
data_ReOs3S
_cell_length_a 4.6670
_cell_length_b 4.6670
_cell_length_c 4.6670
_cell_angle_alpha 90.00
_cell_angle_beta 90.00
_cell_angle_gamma 90.00
_space_group_name_H-M_alt 'P m -3 m'
_space_group_IT_number 221
_space_group_name_Hall '-P 4 2 3'
loop_
_atom_site_label
_atom_site_type_symbol
_atom_site_fract_x
_atom_site_fract_y
_atom_site_fract_z
_atom_site_occupancy
Re1 Re 0.0000 0.0000 0.0000 1
Os1 Os 0.0000 0.0000 0.5000 1
S1 S 0.5000 0.5000 0.5000 1
```

# 12
## ReSbOs2 (GGA-PBEsol)

Data for a relaxed ReSbOs2 crystal.

Uncorrected formation energy: 2.36 eV per formula unit

```
data_ReSbOs2
_cell_length_a 3.9273
_cell_length_b 3.9273
_cell_length_c 7.9550
_cell_angle_alpha 90.00
_cell_angle_beta 90.00
_cell_angle_gamma 90.00
_space_group_name_H-M_alt 'I -4 m 2'
_space_group_IT_number 119
_space_group_name_Hall 'I -4 -2'
loop_
_atom_site_label
_atom_site_type_symbol
_atom_site_fract_x
_atom_site_fract_y
_atom_site_fract_z
_atom_site_occupancy
Re1 Re 0.0000 0.0000 0.0000 1
Sb1 Sb 0.0000 0.5000 0.2500 1
Os1 Os 0.0000 0.0000 0.5000 1
Os2 Os 0.0000 0.5000 0.7500 1
```

# 13
## ReSbOs2 (GGA-PBEsol)

Data for a relaxed ReSbOs2 crystal.

Uncorrected formation energy: 1.88 eV per formula unit

```
data_ReSbOs2
_cell_length_a 2.8811
_cell_length_b 2.8811
_cell_length_c 26.1411
_cell_angle_alpha 90.00
_cell_angle_beta 90.00
_cell_angle_gamma 120.00
_space_group_name_H-M_alt 'R -3 m'
_space_group_IT_number 166
_space_group_name_Hall '-R 3 2"'
loop_
_atom_site_label
_atom_site_type_symbol
_atom_site_fract_x
_atom_site_fract_y
_atom_site_fract_z
_atom_site_occupancy
Re1 Re 0.0000 0.0000 0.0000 1
Sb1 Sb 0.0000 0.0000 0.5000 1
Os1 Os 0.0000 0.0000 0.2531 1
```

# 14
## ReSbOs2 (GGA-PBEsol)

Data for a relaxed ReSbOs2 crystal.

Uncorrected formation energy: 3.61 eV per formula unit

```
data_ReSbOs2
_cell_length_a 5.4639
_cell_length_b 9.1020
_cell_length_c 2.8611
_cell_angle_alpha 90.00
_cell_angle_beta 117.23
_cell_angle_gamma 90.00
_space_group_name_H-M_alt 'C 1 2/m 1'
_space_group_IT_number 12
loop_
_space_group_symop_operation_xyz
'x,y,z'
'-x,-y,-z'
'-x,y,-z'
'x,-y,z'
'x+1/2,y+1/2,z'
'-x+1/2,-y+1/2,-z'
'-x+1/2,y+1/2,-z'
'x+1/2,-y+1/2,z'
loop_
_atom_site_label
_atom_site_type_symbol
_atom_site_fract_x
_atom_site_fract_y
_atom_site_fract_z
_atom_site_occupancy
Re1 Re 0.0000 0.0000 0.0000 1
Sb1 Sb 0.0000 0.5000 0.0000 1
Os1 Os 0.2500 0.2500 0.5000 1
```

# 15
## TlReSb2Os (GGA-PBEsol)

Data for a relaxed TlReSb2Os crystal.

Uncorrected formation energy: 8.52 eV per formula unit

```
data_TlReSb2Os
_cell_length_a 5.0240
_cell_length_b 5.0240
_cell_length_c 5.1781
_cell_angle_alpha 90.00
_cell_angle_beta 90.00
_cell_angle_gamma 90.00
_space_group_name_H-M_alt 'P 4/m m m'
_space_group_IT_number 123
_space_group_name_Hall '-P 4 2'
loop_
_atom_site_label
_atom_site_type_symbol
_atom_site_fract_x
_atom_site_fract_y
_atom_site_fract_z
_atom_site_occupancy
Tl1 Tl 0.0000 0.0000 0.0000 1
Re1 Re 0.0000 0.0000 0.5000 1
Sb1 Sb 0.0000 0.5000 0.5000 1
Os1 Os 0.5000 0.5000 0.0000 1
```

# 16
## ScReOs (GGA-PBEsol)

Data for a relaxed ScReOs crystal.

Energy relative to the elements: 1.43 eV per atom
ΔE to the lowest computed polymorph: 3.15 eV per formula unit

```
data_ScReOs
_cell_length_a 5.9904
_cell_length_b 5.9904
_cell_length_c 5.9904
_cell_angle_alpha 90.00
_cell_angle_beta 90.00
_cell_angle_gamma 90.00
_space_group_name_H-M_alt 'F -4 3 m'
_space_group_IT_number 216
_space_group_name_Hall 'F -4 2 3'
loop_
_atom_site_label
_atom_site_type_symbol
_atom_site_fract_x
_atom_site_fract_y
_atom_site_fract_z
_atom_site_occupancy
Sc1 Sc 0.0000 0.0000 0.0000 1
Re1 Re 0.2500 0.2500 0.2500 1
Os1 Os 0.2500 0.2500 0.7500 1
```

# 17
## ScRe2Os (GGA-PBEsol)

Data for a relaxed ScRe2Os crystal.

Energy relative to the elements: 0.21 eV per atom
ΔE to the lowest computed polymorph: 0.95 eV per formula unit

```
data_ScRe2Os
_cell_length_a 3.7937
_cell_length_b 3.7937
_cell_length_c 4.2663
_cell_angle_alpha 90.00
_cell_angle_beta 90.00
_cell_angle_gamma 90.00
_space_group_name_H-M_alt 'P 4/m m m'
_space_group_IT_number 123
_space_group_name_Hall '-P 4 2'
loop_
_atom_site_label
_atom_site_type_symbol
_atom_site_fract_x
_atom_site_fract_y
_atom_site_fract_z
_atom_site_occupancy
Sc1 Sc 0.0000 0.0000 0.0000 1
Re1 Re 0.0000 0.5000 0.5000 1
Os1 Os 0.5000 0.5000 0.0000 1
```

# 18
## ScRe2Os (GGA-PBEsol)

Data for a relaxed ScRe2Os crystal.

Energy relative to the elements: 0.15 eV per atom
ΔE to the lowest computed polymorph: 0.72 eV per formula unit

```
data_ScRe2Os
_cell_length_a 2.8185
_cell_length_b 2.8185
_cell_length_c 26.9739
_cell_angle_alpha 90.00
_cell_angle_beta 90.00
_cell_angle_gamma 120.00
_space_group_name_H-M_alt 'R 3 m'
_space_group_IT_number 160
_space_group_name_Hall 'R 3 -2"'
loop_
_atom_site_label
_atom_site_type_symbol
_atom_site_fract_x
_atom_site_fract_y
_atom_site_fract_z
_atom_site_occupancy
Sc1 Sc 0.0000 0.0000 0.0000 1
Re1 Re 0.0000 0.0000 0.2453 1
Re2 Re 0.0000 0.0000 0.4991 1
Os1 Os 0.0000 0.0000 0.7535 1
```

# 19
## ScRe2Os (GGA-PBEsol)

Data for a relaxed ScRe2Os crystal.

Energy relative to the elements: -0.03 eV per atom
ΔE to the lowest computed polymorph: 0.01 eV per formula unit

```
data_ScRe2Os
_cell_length_a 6.2284
_cell_length_b 6.2284
_cell_length_c 6.2284
_cell_angle_alpha 90.00
_cell_angle_beta 90.00
_cell_angle_gamma 90.00
_space_group_name_H-M_alt 'F -4 3 m'
_space_group_IT_number 216
_space_group_name_Hall 'F -4 2 3'
loop_
_atom_site_label
_atom_site_type_symbol
_atom_site_fract_x
_atom_site_fract_y
_atom_site_fract_z
_atom_site_occupancy
Sc1 Sc 0.0000 0.0000 0.0000 1
Re1 Re 0.0000 0.0000 0.5000 1
Re2 Re 0.2500 0.2500 0.7500 1
Os1 Os 0.2500 0.2500 0.2500 1
```

# 20
## Sc2ReOs (GGA-PBEsol)

Data for a relaxed Sc2ReOs crystal.

Energy relative to the elements: 0.09 eV per atom

```
data_Sc2ReOs
_cell_length_a 3.7987
_cell_length_b 3.7987
_cell_length_c 9.1743
_cell_angle_alpha 90.00
_cell_angle_beta 90.00
_cell_angle_gamma 90.00
_space_group_name_H-M_alt 'I -4 m 2'
_space_group_IT_number 119
_space_group_name_Hall 'I -4 -2'
loop_
_atom_site_label
_atom_site_type_symbol
_atom_site_fract_x
_atom_site_fract_y
_atom_site_fract_z
_atom_site_occupancy
Sc1 Sc 0.0000 0.0000 0.0000 1
Sc2 Sc 0.0000 0.5000 0.2500 1
Re1 Re 0.0000 0.5000 0.7500 1
Os1 Os 0.0000 0.0000 0.5000 1
```